A plane-wave DFT calculation with PBE-GGA was carried out for crystalline LuZrTl at its relaxed geometry.

Computed properties:
- Total DFT energy (no corrections): -4.895 eV/atom
- V: 28.3 A^3/atom
- Total moment: 1.15 μB/cell

Structure (CIF):
```
data_LuZrTl
_chemical_formula_sum 'Lu1 Zr1 Tl1'
_space_group_name_H-M_alt 'P 1'
_space_group_IT_number 1
_cell_length_a 4.9351
_cell_length_b 4.9351
_cell_length_c 4.9351
_cell_angle_alpha 60.00
_cell_angle_beta 60.00
_cell_angle_gamma 60.00
loop_
_space_group_symop_operation_xyz
'x,y,z'
loop_
_atom_site_label
_atom_site_type_symbol
_atom_site_fract_x
_atom_site_fract_y
_atom_site_fract_z
Zr1 Zr 0.7500 0.7500 0.7500
Tl1 Tl 0.0000 0.0000 0.0000
Lu1 Lu 0.2500 0.2500 0.2500
```